No. 1
## In2GaBi (PBE-GGA)

Data for an optimized crystal structure of In2GaBi.

The space group is R3m (No. 160, hexagonal axes) and the conventional cell measures 4.5703, 4.5703 and 19.6501 Å, with angles of 90.00, 90.00 and 120.00 degrees. Symmetry generates all atoms from In at (0.0000, 0.0000, 0.0000), In at (0.0000, 0.0000, 0.1566), Ga at (0.0000, 0.0000, 0.7460) and Bi at (0.0000, 0.0000, 0.5781).

The magnetic moment is 0.0 μB/f.u. The formation energy is 0.10 eV/atom. Its density of states at the Fermi level is 6.46 states/eV/cell.


No. 2
## CaPm2Pr6 (PBE-GGA)

Data for an optimized crystal structure of CaPm2Pr6.

The space group is C2/m (No. 12) and the conventional cell measures 18.340, 10.106 and 3.626 Å, with angles of 90.00, 101.23 and 90.00 degrees. Symmetry generates all atoms from Ca at (0.000, 0.000, 0.000), Pm at (0.152, 0.500, 0.149), Pr at (0.000, 0.332, 0.500) and Pr at (0.171, 0.181, 0.670).

The magnetic moment is 0.0 μB/f.u. The formation energy is 0.10 eV/atom. Its density of states at the Fermi level is 27.47 states/eV/cell.


No. 3
## Pr8C3S3N (PBE-GGA)

Data for an optimized crystal structure of Pr8C3S3N.

The space group is R-3m (No. 166, hexagonal axes) and the conventional cell measures 7.7434, 7.7434 and 20.0804 Å, with angles of 90.00, 90.00 and 120.00 degrees. Symmetry generates all atoms from Pr at (0.0000, 0.0000, 0.2398), Pr at (0.0029, 0.5014, 0.2372), C at (0.0000, 0.5000, 0.5000), S at (0.0000, 0.5000, 0.0000) and N at (0.0000, 0.0000, 0.5000).

The value obtained for the uncorrected formation energy is -1.014 eV per atom. The magnetic moment is 1.2 μB/f.u. Its density of states at the Fermi level is 15.42 states/eV/cell.


No. 4
## Na2PuAlH8 (PBE-GGA)

Data for an optimized crystal structure of Na2PuAlH8.

The space group is P-1 (No. 2) and the conventional cell measures 3.597, 5.676 and 5.983 Å, with angles of 89.58, 74.37 and 89.90 degrees. Symmetry generates all atoms from Na at (0.128, 0.002, 0.224), Pu at (0.500, 0.500, 0.500), Al at (0.500, 0.500, 0.000), H at (0.000, 0.251, 0.501), H at (0.119, 0.501, 0.248), H at (0.347, 0.272, 0.839) and H at (0.348, 0.726, 0.835).

For the total DFT energy (no corrections), the calculation gives -49.9 eV/cell. The magnetic moment is 5.0 μB/f.u. Its density of states at the Fermi level is 5.37 states/eV/cell.